[1]
CaTb2HgAu4 | Alexandria via LeMat-Bulk | PBE | optimized geometry; SG = R-3m, No. 166; E = -30.47 eV/cell
1.0
2.5151 1.4521 8.2531
-2.5151 1.4521 8.2531
0.0000 -2.9042 8.2531
Ca Tb Hg Au
1 2 1 4
Direct
0.0000 0.0000 0.0000 Ca
0.2424 0.2424 0.2424 Tb
0.7576 0.7576 0.7576 Tb
0.5000 0.5000 0.5000 Hg
0.1203 0.1203 0.1203 Au
0.3689 0.3689 0.3689 Au
0.6311 0.6311 0.6311 Au
0.8797 0.8797 0.8797 Au



[2]
Ca2TiHgAu | Alexandria via LeMat-Bulk | PBE | optimized geometry; SG = P4/mmm, No. 123; E = -13.50 eV/cell
1.0
5.8306 0.0000 0.0000
0.0000 5.8306 0.0000
0.0000 0.0000 4.8285
Ca Ti Hg Au
2 1 1 1
Direct
0.0000 0.5000 0.0000 Ca
0.5000 0.0000 0.0000 Ca
0.0000 0.0000 0.0000 Ti
0.5000 0.5000 0.5000 Hg
0.0000 0.0000 0.5000 Au



[3]
CaTlHgAu | Alexandria via LeMat-Bulk | PBE | optimized geometry; SG = F-43m, No. 216; E = -9.62 eV/cell
1.0
0.0000 3.6694 3.6694
3.6694 0.0000 3.6694
3.6694 3.6694 0.0000
Ca Tl Hg Au
1 1 1 1
Direct
0.0000 0.0000 0.0000 Ca
0.5000 0.5000 0.5000 Tl
0.2500 0.2500 0.2500 Hg
0.7500 0.7500 0.7500 Au



[4]
Ca3Tl2Hg4Au2 | Alexandria via LeMat-Bulk | PBE | optimized geometry; SG = P-3m1, No. 164; E = -22.89 eV/cell
1.0
4.9081 0.0000 0.0000
-2.4541 4.2506 0.0000
0.0000 0.0000 14.2807
Ca Tl Hg Au
3 2 4 2
Direct
0.0000 0.0000 0.0000 Ca
0.0000 0.0000 0.2472 Ca
0.0000 0.0000 0.7528 Ca
0.3333 0.6667 0.5707 Tl
0.6667 0.3333 0.4293 Tl
0.3333 0.6667 0.3497 Hg
0.3333 0.6667 0.8798 Hg
0.6667 0.3333 0.1202 Hg
0.6667 0.3333 0.6503 Hg
0.3333 0.6667 0.1300 Au
0.6667 0.3333 0.8700 Au



[5]
Ca4TlHgAu2 | Alexandria via LeMat-Bulk | PBE | optimized geometry; SG = R-3m, No. 166; E = -22.14 eV/cell
1.0
2.6426 1.5257 8.6059
-2.6426 1.5257 8.6059
0.0000 -3.0515 8.6059
Ca Tl Hg Au
4 1 1 2
Direct
0.1240 0.1240 0.1240 Ca
0.3740 0.3740 0.3740 Ca
0.6260 0.6260 0.6260 Ca
0.8760 0.8760 0.8760 Ca
0.5000 0.5000 0.5000 Tl
0.0000 0.0000 0.0000 Hg
0.2493 0.2493 0.2493 Au
0.7507 0.7507 0.7507 Au



[6]
CaTl2Hg7Au2 | Alexandria via LeMat-Bulk | PBE | optimized geometry; SG = C2/m, No. 12; E = -16.90 eV/cell
1.0
3.1451 -3.1463 0.0000
3.1451 3.1463 0.0000
-3.0630 0.0000 15.9272
Ca Tl Hg Au
1 2 7 2
Direct
0.0000 0.0000 0.0000 Ca
0.1718 0.1718 0.3364 Tl
0.8282 0.8282 0.6636 Tl
0.0789 0.5787 0.1573 Hg
0.2646 0.2646 0.5354 Hg
0.4213 0.9211 0.8427 Hg
0.5000 0.5000 0.0000 Hg
0.5787 0.0789 0.1573 Hg
0.7354 0.7354 0.4646 Hg
0.9211 0.4213 0.8427 Hg
0.3549 0.3549 0.7138 Au
0.6451 0.6451 0.2862 Au



[7]
CaYHg2Au | Alexandria via LeMat-Bulk | PBE | optimized geometry; SG = P4/mmm, No. 123; E = -12.05 eV/cell
1.0
5.3289 0.0000 0.0000
0.0000 5.3289 0.0000
0.0000 0.0000 5.3159
Ca Y Hg Au
1 1 2 1
Direct
0.0000 0.0000 0.0000 Ca
0.5000 0.5000 0.0000 Y
0.0000 0.5000 0.5000 Hg
0.5000 0.0000 0.5000 Hg
0.0000 0.0000 0.5000 Au



[8]
CaY2HgAu4 | Alexandria via LeMat-Bulk | PBE | optimized geometry; SG = R-3m, No. 166; E = -34.12 eV/cell
1.0
2.5122 1.4504 8.2449
-2.5122 1.4504 8.2449
0.0000 -2.9008 8.2449
Ca Y Hg Au
1 2 1 4
Direct
0.0000 0.0000 0.0000 Ca
0.2426 0.2426 0.2426 Y
0.7574 0.7574 0.7574 Y
0.5000 0.5000 0.5000 Hg
0.1204 0.1204 0.1204 Au
0.3692 0.3692 0.3692 Au
0.6308 0.6308 0.6308 Au
0.8796 0.8796 0.8796 Au



[9]
Ca4ZnHgAu2 | Alexandria via LeMat-Bulk | PBE | optimized geometry; SG = R-3m, No. 166; E = -20.73 eV/cell
1.0
2.5980 1.5000 8.5532
-2.5980 1.5000 8.5532
0.0000 -3.0000 8.5532
Ca Zn Hg Au
4 1 1 2
Direct
0.1236 0.1236 0.1236 Ca
0.3740 0.3740 0.3740 Ca
0.6260 0.6260 0.6260 Ca
0.8764 0.8764 0.8764 Ca
0.0000 0.0000 0.0000 Zn
0.5000 0.5000 0.5000 Hg
0.2521 0.2521 0.2521 Au
0.7479 0.7479 0.7479 Au



[10]
CaZn2HgAu2 | Alexandria via LeMat-Bulk | PBE | optimized geometry; SG = P-3m1, No. 164; E = -13.68 eV/cell
1.0
4.5508 0.0000 0.0000
-2.2754 3.9411 0.0000
0.0000 0.0000 6.8631
Ca Zn Hg Au
1 2 1 2
Direct
0.0000 0.0000 0.0000 Ca
0.3333 0.6667 0.7099 Zn
0.6667 0.3333 0.2901 Zn
0.0000 0.0000 0.5000 Hg
0.3333 0.6667 0.2668 Au
0.6667 0.3333 0.7332 Au



[11]
Ca2ZnHgAu6 | Alexandria via LeMat-Bulk | PBE | optimized geometry; SG = Fm-3m, No. 225; E = -26.37 eV/cell
1.0
0.0000 5.0630 5.0630
5.0630 0.0000 5.0630
5.0630 5.0630 0.0000
Ca Zn Hg Au
2 1 1 6
Direct
0.2500 0.2500 0.2500 Ca
0.7500 0.7500 0.7500 Ca
0.0000 0.0000 0.0000 Zn
0.5000 0.5000 0.5000 Hg
0.2394 0.2394 0.7606 Au
0.2394 0.7606 0.2394 Au
0.2394 0.7606 0.7606 Au
0.7606 0.2394 0.2394 Au
0.7606 0.2394 0.7606 Au
0.7606 0.7606 0.2394 Au



[12]
CaHo4Au5 | Alexandria via LeMat-Bulk | PBE | optimized geometry; SG = P4/mmm, No. 123; E = -45.32 eV/cell
1.0
3.5719 0.0000 0.0000
0.0000 3.5719 0.0000
0.0000 0.0000 18.2304
Ca Ho Au
1 4 5
Direct
0.0000 0.0000 0.0000 Ca
0.0000 0.0000 0.2010 Ho
0.0000 0.0000 0.4007 Ho
0.0000 0.0000 0.5993 Ho
0.0000 0.0000 0.7990 Ho
0.5000 0.5000 0.1103 Au
0.5000 0.5000 0.3019 Au
0.5000 0.5000 0.5000 Au
0.5000 0.5000 0.6981 Au
0.5000 0.5000 0.8897 Au



The energy of formation results, record by record, are as follows: -16.70 9.13 -9.67 -9.21 -14.16 -2.88 1.35 -16.65 -13.25 -8.76 -2.59 -19.88 kcal/mol of atoms.
The total magnetization results, record by record, are as follows: 0.0 2.4 0.0 0.0 0.0 0.0 0.0 0.0 0.0 0.0 0.0 0.0 μB/f.u..
The DOS(E_F) results, record by record, are as follows: 4.62 6.12 0.95 4.50 3.43 5.17 4.51 4.69 6.41 1.32 3.12 3.89 states/eV/f.u..